1.
Material: KTc2Ru2
Method: DFT, PBE
State: optimized geometry

## Properties
Energy relative to the elements = 16.63 kcal/mol of atoms
Crystal system = tetragonal
Volume = 19.5 Å³ per atom
Distance to the lowest polymorph of the same formula = 0.115 eV per atom
Symmetry = I4/mmm, No. 139
Uncorrected energy = -7.36 eV/atom

Geometry as CIF:
```
data_KTc2Ru2
_cell_length_a 4.3683
_cell_length_b 4.3683
_cell_length_c 5.9699
_cell_angle_alpha 68.54
_cell_angle_beta 68.54
_cell_angle_gamma 90.00
_space_group_name_H-M_alt 'P 1'
_space_group_IT_number 1
_space_group_name_Hall 'P 1'
loop_
_atom_site_label
_atom_site_fract_x
_atom_site_fract_y
_atom_site_fract_z
Ru1 0.6337 0.6337 0.7325
Ru2 0.3663 0.3663 0.2675
Tc1 0.2500 0.7500 0.5000
Tc2 0.7500 0.2500 0.5000
K1 0.0000 0.0000 0.0000
```

***

2.
Material: SmHfIrO6
Method: DFT, PBE
State: optimized geometry

## Properties
Crystal system = trigonal
Volume = 13.8 Å³ per atom
Symmetry = P-31c, No. 163
Uncorrected energy = -8.28 eV/atom

Geometry as CIF:
```
data_SmHfIrO6
_cell_length_a 5.3180
_cell_length_b 5.3180
_cell_length_c 10.1178
_cell_angle_alpha 90.00
_cell_angle_beta 90.00
_cell_angle_gamma 120.00
_space_group_name_H-M_alt 'P 1'
_space_group_IT_number 1
_space_group_name_Hall 'P 1'
loop_
_atom_site_label
_atom_site_fract_x
_atom_site_fract_y
_atom_site_fract_z
O1 0.3492 0.3628 0.8597
O2 0.6508 0.0136 0.3597
O3 0.3628 0.0136 0.1403
O4 0.3492 0.9864 0.6403
O5 0.9864 0.6372 0.3597
O6 0.0136 0.6508 0.8597
O7 0.9864 0.3492 0.1403
O8 0.6372 0.9864 0.8597
O9 0.6372 0.6508 0.6403
O10 0.6508 0.6372 0.1403
O11 0.3628 0.3492 0.3597
O12 0.0136 0.3628 0.6403
Sm1 0.0000 0.0000 0.0000
Sm2 0.0000 0.0000 0.5000
Ir1 0.6667 0.3333 0.2500
Ir2 0.3333 0.6667 0.7500
Hf1 0.6667 0.3333 0.7500
Hf2 0.3333 0.6667 0.2500
```

***

3.
Material: La8SiPd3I4
Method: DFT, PBE
State: optimized geometry

## Properties
Crystal system = trigonal
Volume = 32.9 Å³ per atom
Symmetry = R-3m, No. 166
Uncorrected energy = -5.09 eV/atom

Geometry as CIF:
```
data_La8SiPd3I4
_cell_length_a 8.7260
_cell_length_b 9.4377
_cell_length_c 8.7292
_cell_angle_alpha 117.54
_cell_angle_beta 119.99
_cell_angle_gamma 90.00
_space_group_name_H-M_alt 'P 1'
_space_group_IT_number 1
_space_group_name_Hall 'P 1'
loop_
_atom_site_label
_atom_site_fract_x
_atom_site_fract_y
_atom_site_fract_z
Pd1 0.0000 0.5000 0.5000
Pd2 0.5000 0.5000 0.0000
Pd3 0.5000 0.5000 0.5000
Si1 0.0000 0.5000 0.0000
La1 0.2664 0.2983 0.0322
La2 0.2341 0.7017 0.4682
La3 0.7317 0.6949 0.4635
La4 0.7336 0.7017 0.9678
La5 0.2342 0.7017 0.9678
La6 0.2683 0.3051 0.5365
La7 0.7659 0.2983 0.5318
La8 0.7658 0.2983 0.0322
I1 0.5000 0.0000 0.5000
I2 0.5000 0.0000 0.0000
I3 0.0000 0.0000 0.5000
I4 0.0000 0.0000 0.0000
```

***

4.
Material: KMnCrS3
Method: DFT, PBE
State: optimized geometry

## Properties
Crystal system = monoclinic
Volume = 21.9 Å³ per atom
Symmetry = P2_1/m, No. 11
Uncorrected energy = -6.15 eV/atom

Geometry as CIF:
```
data_KMnCrS3
_cell_length_a 3.7269
_cell_length_b 8.2362
_cell_length_c 9.2092
_cell_angle_alpha 111.34
_cell_angle_beta 90.00
_cell_angle_gamma 90.00
_space_group_name_H-M_alt 'P 1'
_space_group_IT_number 1
_space_group_name_Hall 'P 1'
loop_
_atom_site_label
_atom_site_fract_x
_atom_site_fract_y
_atom_site_fract_z
Mn1 0.2500 0.0841 0.6072
Mn2 0.7500 0.9159 0.3928
S1 0.7500 0.8649 0.1323
S2 0.7500 0.4748 0.1381
S3 0.2500 0.5252 0.8619
S4 0.2500 0.7849 0.4474
S5 0.7500 0.2151 0.5526
S6 0.2500 0.1351 0.8677
Cr1 0.7500 0.3349 0.8633
Cr2 0.2500 0.6651 0.1367
K1 0.7500 0.7812 0.7620
K2 0.2500 0.2188 0.2380
```

***

5.
Material: Pr2ZnAs3Pt4
Method: DFT, PBE
State: optimized geometry

## Properties
Energy relative to the elements = -20.22 kcal/mol of atoms
Crystal system = tetragonal
Volume = 19.6 Å³ per atom
Symmetry = P-4m2, No. 115
Uncorrected energy = -5.77 eV/atom

Geometry as CIF:
```
data_Pr2ZnAs3Pt4
_cell_length_a 4.3783
_cell_length_b 4.3783
_cell_length_c 10.2446
_cell_angle_alpha 90.00
_cell_angle_beta 90.00
_cell_angle_gamma 90.00
_space_group_name_H-M_alt 'P 1'
_space_group_IT_number 1
_space_group_name_Hall 'P 1'
loop_
_atom_site_label
_atom_site_fract_x
_atom_site_fract_y
_atom_site_fract_z
As1 0.5000 0.0000 0.8659
As2 0.0000 0.0000 0.5000
As3 0.0000 0.5000 0.1341
Zn1 0.5000 0.5000 0.5000
Pr1 0.0000 0.5000 0.7558
Pr2 0.5000 0.0000 0.2442
Pt1 0.5000 0.5000 0.0000
Pt2 0.5000 0.0000 0.6262
Pt3 0.0000 0.0000 0.0000
Pt4 0.0000 0.5000 0.3738
```

***

6.
Material: MgRePb3
Method: DFT, PBE
State: optimized geometry

## Properties
Energy relative to the elements = 13.59 kcal/mol of atoms
Crystal system = cubic
Volume = 31.2 Å³ per atom
Distance to the lowest polymorph of the same formula = 0.000 eV per atom
Symmetry = Pm-3m, No. 221
Uncorrected energy = -4.44 eV/atom

Geometry as CIF:
```
data_MgRePb3
_cell_length_a 5.3804
_cell_length_b 5.3804
_cell_length_c 5.3804
_cell_angle_alpha 90.00
_cell_angle_beta 90.00
_cell_angle_gamma 90.00
_space_group_name_H-M_alt 'P 1'
_space_group_IT_number 1
_space_group_name_Hall 'P 1'
loop_
_atom_site_label
_atom_site_fract_x
_atom_site_fract_y
_atom_site_fract_z
Mg1 0.5000 0.5000 0.5000
Pb1 0.0000 0.0000 0.5000
Pb2 0.0000 0.5000 0.0000
Pb3 0.5000 0.0000 0.0000
Re1 0.0000 0.0000 0.0000
```

***

7.
Material: BeNiRu2
Method: DFT, PBE
State: optimized geometry

## Properties
Energy relative to the elements = -0.38 kcal/mol of atoms
Crystal system = tetragonal
Volume = 12.0 Å³ per atom
Symmetry = I-4m2, No. 119
Uncorrected energy = -7.03 eV/atom

Geometry as CIF:
```
data_BeNiRu2
_cell_length_a 4.5136
_cell_length_b 4.5136
_cell_length_c 4.5136
_cell_angle_alpha 133.29
_cell_angle_beta 133.29
_cell_angle_gamma 68.20
_space_group_name_H-M_alt 'P 1'
_space_group_IT_number 1
_space_group_name_Hall 'P 1'
loop_
_atom_site_label
_atom_site_fract_x
_atom_site_fract_y
_atom_site_fract_z
Be1 0.5000 0.5000 0.0000
Ru1 0.2500 0.7500 0.5000
Ru2 0.0000 0.0000 0.0000
Ni1 0.7500 0.2500 0.5000
```

***

8.
Material: Li2Ag2AsAu4
Method: DFT, PBE
State: optimized geometry

## Properties
Energy relative to the elements = -2.19 kcal/mol of atoms
Crystal system = tetragonal
Volume = 18.5 Å³ per atom
Symmetry = I4/mmm, No. 139
Uncorrected energy = -3.13 eV/atom

Geometry as CIF:
```
data_Li2Ag2AsAu4
_cell_length_a 6.0630
_cell_length_b 6.0630
_cell_length_c 6.0630
_cell_angle_alpha 98.45
_cell_angle_beta 115.25
_cell_angle_gamma 115.25
_space_group_name_H-M_alt 'P 1'
_space_group_IT_number 1
_space_group_name_Hall 'P 1'
loop_
_atom_site_label
_atom_site_fract_x
_atom_site_fract_y
_atom_site_fract_z
As1 0.0000 0.0000 0.0000
Au1 0.0000 0.2762 0.7238
Au2 0.0000 0.7238 0.2762
Au3 0.5524 0.2762 0.2762
Au4 0.4476 0.7238 0.7238
Li1 0.0000 0.6992 0.6992
Li2 0.0000 0.3008 0.3008
Ag1 0.5000 0.7500 0.2500
Ag2 0.5000 0.2500 0.7500
```

***

9.
Material: Cd2Ga3Ag7
Method: DFT, PBE
State: optimized geometry

## Properties
Energy relative to the elements = 1.32 kcal/mol of atoms
Crystal system = monoclinic
Volume = 19.3 Å³ per atom
Symmetry = P2/m, No. 10
Uncorrected energy = -2.52 eV/atom

Geometry as CIF:
```
data_Cd2Ga3Ag7
_cell_length_a 2.9035
_cell_length_b 4.8317
_cell_length_c 16.5370
_cell_angle_alpha 89.49
_cell_angle_beta 90.00
_cell_angle_gamma 90.00
_space_group_name_H-M_alt 'P 1'
_space_group_IT_number 1
_space_group_name_Hall 'P 1'
loop_
_atom_site_label
_atom_site_fract_x
_atom_site_fract_y
_atom_site_fract_z
Ag1 0.5000 0.2534 0.5462
Ag2 0.5000 0.1192 0.1703
Ag3 0.0000 0.0000 0.0000
Ag4 0.0000 0.6197 0.1349
Ag5 0.0000 0.3803 0.8651
Ag6 0.5000 0.8808 0.8297
Ag7 0.5000 0.7466 0.4538
Cd1 0.5000 0.3728 0.7145
Cd2 0.5000 0.6272 0.2855
Ga1 0.5000 0.5000 0.0000
Ga2 0.0000 0.7913 0.6115
Ga3 0.0000 0.2087 0.3885
```

***

10.
Material: Y2TeAu
Method: DFT, PBE
State: optimized geometry

## Properties
Crystal system = orthorhombic
Volume = 25.5 Å³ per atom
Symmetry = Pmmm, No. 47
Uncorrected energy = -5.76 eV/atom

Geometry as CIF:
```
data_Y2TeAu
_cell_length_a 3.8177
_cell_length_b 3.8050
_cell_length_c 7.9923
_cell_angle_alpha 61.55
_cell_angle_beta 90.00
_cell_angle_gamma 90.00
_space_group_name_H-M_alt 'P 1'
_space_group_IT_number 1
_space_group_name_Hall 'P 1'
loop_
_atom_site_label
_atom_site_fract_x
_atom_site_fract_y
_atom_site_fract_z
Au1 0.5000 0.2500 0.2500
Te1 0.5000 0.7500 0.7500
Y1 0.0000 0.9901 0.0104
Y2 0.0000 0.5099 0.4896
```

***

11.
Material: Nb2VFe2Ru5
Method: DFT, PBE
State: optimized geometry

## Properties
Energy relative to the elements = 0.23 kcal/mol of atoms
Crystal system = tetragonal
Volume = 14.5 Å³ per atom
Symmetry = P4/mbm, No. 127
Uncorrected energy = -9.25 eV/atom

Geometry as CIF:
```
data_Nb2VFe2Ru5
_cell_length_a 3.8153
_cell_length_b 8.7270
_cell_length_c 8.7270
_cell_angle_alpha 90.00
_cell_angle_beta 90.00
_cell_angle_gamma 90.00
_space_group_name_H-M_alt 'P 1'
_space_group_IT_number 1
_space_group_name_Hall 'P 1'
loop_
_atom_site_label
_atom_site_fract_x
_atom_site_fract_y
_atom_site_fract_z
Ru1 0.5000 0.6986 0.4280
Ru2 0.5000 0.0000 0.5000
Ru3 0.5000 0.9280 0.1986
Ru4 0.5000 0.5720 0.6986
Ru5 0.5000 0.5000 0.0000
Ru6 0.5000 0.0720 0.8014
Ru7 0.5000 0.3014 0.5720
Ru8 0.5000 0.8014 0.9280
Ru9 0.5000 0.4280 0.3014
Ru10 0.5000 0.1986 0.0720
Nb1 0.0000 0.1642 0.3358
Nb2 0.0000 0.6642 0.1642
Nb3 0.0000 0.3358 0.8358
Nb4 0.0000 0.8358 0.6642
Fe1 0.0000 0.6331 0.8669
Fe2 0.0000 0.8669 0.3669
Fe3 0.0000 0.1331 0.6331
Fe4 0.0000 0.3669 0.1331
V1 0.0000 0.5000 0.5000
V2 0.0000 0.0000 0.0000
```